Below is KVF4 after structural relaxation, with properties calculated at the PBE with a Hubbard U level.

Lattice parameters (Å, degrees): 7.134 7.134 5.223 108.32 108.32 114.00
Positions (direct):
K  0.149  0.851  0.750
K  0.851  0.149  0.250
V  0.419  0.581  0.250
V  0.581  0.419  0.750
F  0.160  0.543  0.312
F  0.279  0.348  0.804
F  0.348  0.279  0.304
F  0.457  0.840  0.188
F  0.543  0.160  0.812
F  0.652  0.721  0.696
F  0.721  0.652  0.196
F  0.840  0.457  0.688

Properties
Final energy ... -33.35 eV/f.u.
ΔE to the lowest computed polymorph ... 4.31 kJ/mol of atoms
Magnetization ... 0.333 μB per atom